{
  "formula": "Zr2As",
  "functional": "PBE",
  "state": "relaxed",
  "lattice_angstrom": [[6.4519, 0.0000, 0.0000], [0.0000, 6.4519, 0.0000], [0.0000, 0.0000, 6.4519]],
  "species": ["Zr", "Zr", "Zr", "Zr", "Zr", "Zr", "Zr", "Zr", "As", "As", "As", "As"],
  "fractional_positions": [[0.1390, 0.1390, 0.1390], [0.1390, 0.3610, 0.6390], [0.3610, 0.6390, 0.1390], [0.3610, 0.8610, 0.6390], [0.6390, 0.1390, 0.3610], [0.6390, 0.3610, 0.8610], [0.8610, 0.6390, 0.3610], [0.8610, 0.8610, 0.8610], [0.0000, 0.0000, 0.5000], [0.0000, 0.5000, 0.0000], [0.5000, 0.0000, 0.0000], [0.5000, 0.5000, 0.5000]],
  "e_form_ev_per_atom": -0.585,
  "magmom_total_mub_per_fu": 0.00,
  "dft_energy_ev_per_atom": -7.83,
  "vol_a3_per_atom": 22.38
}